The following is a DFT calculation (GGA+U) of crystalline V2NiPbO6 at its relaxed geometry.

abc: 11.6389 10.0613 5.9982
angles: 90.00 113.15 90.00
Space group C2/c (No. 15)
Inequivalent atoms, fractional coordinates:
V1 0.2092 0.1016 0.2069 (multiplicity 8)
Ni1 0.0000 0.2599 0.7500 (multiplicity 4)
Pb1 0.0000 0.3818 0.2500 (multiplicity 4)
O1 0.0960 0.2372 0.0916 (multiplicity 8)
O2 0.1400 0.3238 0.6691 (multiplicity 8)
O3 0.1838 0.0011 0.4319 (multiplicity 8)

Results
VASP energy ... -6.57 eV/atom